## PaSnAuSe (PBE)

Data for an optimized crystal structure of PaSnAuSe.

The structure in CIF format:
```
data_PaSnAuSe
_cell_length_a 4.4666
_cell_length_b 4.4666
_cell_length_c 9.2527
_cell_angle_alpha 90.00
_cell_angle_beta 90.00
_cell_angle_gamma 90.00
_symmetry_space_group_name_H-M 'P 4/n m m'
_symmetry_Int_Tables_number 129
loop_
_symmetry_equiv_pos_as_xyz
'x,y,z'
'-x,-y,-z'
'-y+1/2,x,z'
'y+1/2,-x,-z'
'-x+1/2,-y+1/2,z'
'x+1/2,y+1/2,-z'
'y,-x+1/2,z'
'-y,x+1/2,-z'
'x+1/2,-y,-z'
'-x+1/2,y,z'
'-y,-x,-z'
'y,x,z'
'-x,y+1/2,-z'
'x,-y+1/2,z'
'y+1/2,x+1/2,-z'
'-y+1/2,-x+1/2,z'
loop_
_atom_site_label
_atom_site_type_symbol
_atom_site_fract_x
_atom_site_fract_y
_atom_site_fract_z
Pa1 Pa 0.2500 0.2500 0.2003
Sn1 Sn 0.2500 0.7500 0.5000
Au1 Au 0.2500 0.2500 0.7067
Se1 Se 0.2500 0.7500 0.0000
```

Output
- mass density (g/cm3) = 11.3
- total magnetization (μB per cell) = 0.004
- uncorrected formation energy (eV per atom) = -0.589
- calculated volume (Å³/cell) = 185